A plane-wave DFT calculation with PBE-GGA was carried out for a relaxed structure of HfNbSi3.

## Properties
Raw formation energy: 1.248 eV per atom
V: 22.33 Å³ per atom

```
data_HfNbSi3
_chemical_formula_sum 'Hf1 Nb1 Si3'
_cell_length_a 4.8153
_cell_length_b 4.8153
_cell_length_c 4.8153
_cell_angle_alpha 90.00
_cell_angle_beta 90.00
_cell_angle_gamma 90.00
_space_group_name_H-M_alt 'P m -3 m'
_space_group_IT_number 221
_space_group_name_Hall '-P 4 2 3'
loop_
_atom_site_label
_atom_site_type_symbol
_atom_site_fract_x
_atom_site_fract_y
_atom_site_fract_z
Hf1 Hf 0.0000 0.0000 0.0000
Nb1 Nb 0.5000 0.5000 0.5000
Si1 Si 0.0000 0.0000 0.5000
```

A plane-wave DFT calculation with PBE-GGA was carried out for a relaxed structure of Hf2Nb2Si.

## Properties
Raw formation energy: -0.007 eV per atom
V: 19.75 Å³ per atom

```
data_Hf2Nb2Si
_chemical_formula_sum 'Hf4 Nb4 Si2'
_cell_length_a 6.7652
_cell_length_b 6.7652
_cell_length_c 4.3154
_cell_angle_alpha 90.00
_cell_angle_beta 90.00
_cell_angle_gamma 90.00
_space_group_name_H-M_alt 'P 4/m b m'
_space_group_IT_number 127
_space_group_name_Hall '-P 4 2ab'
loop_
_atom_site_label
_atom_site_type_symbol
_atom_site_fract_x
_atom_site_fract_y
_atom_site_fract_z
Hf1 Hf 0.1682 0.3318 0.0000
Nb1 Nb 0.1424 0.6424 0.5000
Si1 Si 0.0000 0.0000 0.5000
```

A plane-wave DFT calculation with PBE-GGA was carried out for a relaxed structure of HfNbSi2.

## Properties
Raw formation energy: -0.691 eV per atom
V: 16.33 Å³ per atom

```
data_HfNbSi2
_chemical_formula_sum 'Hf2 Nb2 Si4'
_cell_length_a 3.7625
_cell_length_b 5.1479
_cell_length_c 6.7436
_cell_angle_alpha 90.00
_cell_angle_beta 90.00
_cell_angle_gamma 90.00
_space_group_name_H-M_alt 'P m c 21'
_space_group_IT_number 26
loop_
_space_group_symop_operation_xyz
'x,y,z'
'-x,-y,z+1/2'
'-x,y,z'
'x,-y,z+1/2'
loop_
_atom_site_label
_atom_site_type_symbol
_atom_site_fract_x
_atom_site_fract_y
_atom_site_fract_z
Hf1 Hf 0.0000 0.1220 0.0000
Nb1 Nb 0.5000 0.3697 0.6491
Si1 Si 0.0000 0.3903 0.3683
Si2 Si 0.5000 0.1154 0.2813
```

A plane-wave DFT calculation with PBE-GGA was carried out for a relaxed structure of Hf2NbSi.

## Properties
Raw formation energy: 0.235 eV per atom
V: 20.21 Å³ per atom

```
data_Hf2NbSi
_chemical_formula_sum 'Hf8 Nb4 Si4'
_cell_length_a 7.7656
_cell_length_b 7.7656
_cell_length_c 5.3634
_cell_angle_alpha 90.00
_cell_angle_beta 90.00
_cell_angle_gamma 90.00
_space_group_name_H-M_alt 'I -4 2 d'
_space_group_IT_number 122
_space_group_name_Hall 'I -4 2bw'
loop_
_atom_site_label
_atom_site_type_symbol
_atom_site_fract_x
_atom_site_fract_y
_atom_site_fract_z
Hf1 Hf 0.2137 0.2500 0.1250
Nb1 Nb 0.0000 0.0000 0.5000
Si1 Si 0.0000 0.0000 0.0000
```

A plane-wave DFT calculation with PBE-GGA was carried out for a relaxed structure of HfNbSi2.

## Properties
Raw formation energy: -0.174 eV per atom
V: 17.83 Å³ per atom

```
data_HfNbSi2
_chemical_formula_sum 'Hf4 Nb4 Si8'
_cell_length_a 7.0343
_cell_length_b 7.0343
_cell_length_c 5.7659
_cell_angle_alpha 90.00
_cell_angle_beta 90.00
_cell_angle_gamma 90.00
_space_group_name_H-M_alt 'I -4 2 d'
_space_group_IT_number 122
_space_group_name_Hall 'I -4 2bw'
loop_
_atom_site_label
_atom_site_type_symbol
_atom_site_fract_x
_atom_site_fract_y
_atom_site_fract_z
Hf1 Hf 0.0000 0.0000 0.0000
Nb1 Nb 0.0000 0.0000 0.5000
Si1 Si 0.2403 0.2500 0.6250
```

A plane-wave DFT calculation with PBE-GGA was carried out for a relaxed structure of Hf2NbSiTe.

## Properties
Raw formation energy: 1.066 eV per atom
V: 26.94 Å³ per atom

```
data_Hf2NbSiTe
_chemical_formula_sum 'Hf2 Nb1 Si1 Te1'
_cell_length_a 5.1392
_cell_length_b 5.1392
_cell_length_c 5.1011
_cell_angle_alpha 90.00
_cell_angle_beta 90.00
_cell_angle_gamma 90.00
_space_group_name_H-M_alt 'P 4/m m m'
_space_group_IT_number 123
_space_group_name_Hall '-P 4 2'
loop_
_atom_site_label
_atom_site_type_symbol
_atom_site_fract_x
_atom_site_fract_y
_atom_site_fract_z
Hf1 Hf 0.0000 0.5000 0.0000
Nb1 Nb 0.0000 0.0000 0.0000
Si1 Si 0.5000 0.5000 0.5000
Te1 Te 0.0000 0.0000 0.5000
```